Entry 1:
Density functional theory data (SCAN) for a crystal of Li5Ni5O9F relaxed with PBEsol.

Geometry as POSCAR:
```
Li5Ni5O9F
1.0
4.945 0.042 0.070
-1.584 5.529 0.031
-0.868 -1.761 6.074
O Ni Li F
9 5 5 1
Cartesian
-0.820 1.465 4.232
1.647 0.587 2.948
4.057 -0.114 1.741
2.314 -0.803 5.590
0.833 1.547 0.678
-1.599 3.991 4.437
3.338 2.487 2.025
1.674 2.223 5.451
0.971 3.198 3.127
4.055 -1.698 6.123
2.475 0.813 1.249
0.017 1.538 2.457
2.500 2.313 3.715
0.025 3.101 4.883
1.760 3.564 1.318
-0.782 4.289 2.521
0.780 0.308 4.858
3.258 -0.468 3.641
3.261 0.998 6.132
0.041 4.269 0.753
```

Computed properties:
total energy: -9.34 eV per atom
energy relative to the elements, uncorrected: -1.722 eV/atom


Entry 2:
Density functional theory data (SCAN) for a crystal of CrCd2Ir relaxed with PBEsol.

Geometry as POSCAR:
```
CrCd2Ir
1.0
2.953 0.000 0.000
0.000 4.756 0.004
-1.477 -0.997 4.639
Ir Cr Cd
1 1 2
Cartesian
1.477 0.000 0.000
0.000 2.378 0.002
0.000 0.685 2.299
1.477 3.074 2.344
```

Computed properties:
E_form: 0.1283 eV per atom
total energy: -37.45 eV per atom


Entry 3:
Density functional theory data (SCAN) for a crystal of YZnSe2 relaxed with PBEsol.

Geometry as POSCAR:
```
YZnSe2
1.0
-3.687 0.796 0.299
-0.820 -2.778 -2.702
1.352 -4.197 3.905
Se Y Zn
2 1 1
Cartesian
-2.100 -1.585 2.267
-0.439 -1.616 -1.109
-0.452 -3.495 3.731
-0.655 -3.282 0.669
```

Computed properties:
total energy: -21.76 eV per atom
energy relative to the elements, uncorrected: -1.382 eV/atom


Entry 4:
Density functional theory data (SCAN) for a crystal of GaGeIrSe2 relaxed with PBEsol.

Geometry as POSCAR:
```
GaGeIrSe2
1.0
-3.503 0.977 -2.875
-2.841 -3.307 2.337
-1.558 3.528 3.098
Ir Se Ge Ga
1 2 1 1
Cartesian
0.000 0.000 0.000
-0.779 1.764 1.549
-1.420 -1.654 1.169
-3.951 0.599 1.280
-1.752 0.489 -1.438
```

Computed properties:
total energy: -28.87 eV per atom
energy relative to the elements, uncorrected: 0.463 eV/atom


Entry 5:
Density functional theory data (SCAN) for a crystal of P2IrCS relaxed with PBEsol.

Geometry as POSCAR:
```
P2IrCS
1.0
4.412 0.000 0.000
0.000 4.412 0.000
0.000 0.000 4.999
P C S Ir
2 1 1 1
Cartesian
0.000 2.206 0.000
2.206 0.000 0.000
2.206 2.206 2.500
0.000 0.000 2.500
0.000 0.000 0.000
```

Computed properties:
total energy: -20.37 eV per atom
energy relative to the elements, uncorrected: 1.952 eV/atom


Entry 6:
Density functional theory data (SCAN) for a crystal of Pr3Sc2Fe3O12 relaxed with PBEsol.

Geometry as POSCAR:
```
Pr3Sc2Fe3O12
1.0
11.046 0.000 0.000
-3.682 10.414 0.000
-3.682 -5.207 9.019
Sc O Pr Fe
8 48 12 12
Cartesian
5.523 0.000 0.000
-3.682 2.604 4.510
3.682 5.207 0.000
1.841 2.604 4.510
-1.841 -2.604 4.510
3.682 -2.604 4.510
0.000 0.000 0.000
-1.841 5.207 0.000
4.210 1.398 0.868
4.169 4.393 1.879
5.438 6.345 0.234
0.528 8.963 0.777
9.733 0.053 1.645
1.354 3.824 2.865
-3.154 5.260 7.374
-2.771 -2.416 6.389
3.154 -3.756 8.242
-0.487 0.815 7.140
-2.752 2.416 6.389
-1.926 2.238 3.407
6.453 7.623 2.630
1.926 -1.832 3.641
7.449 4.070 0.234
2.771 4.325 5.286
0.930 -1.534 7.917
-0.930 6.089 5.286
-2.328 6.022 1.879
4.593 1.534 7.917
3.597 1.832 3.641
-0.085 -2.970 5.612
6.836 -0.053 1.645
-0.528 3.809 8.151
-3.767 1.138 8.785
-0.911 3.674 1.102
1.313 1.451 0.777
2.328 1.383 6.155
2.369 3.756 8.242
5.036 5.776 4.275
5.608 2.970 5.612
-3.195 4.638 4.275
3.767 8.177 3.407
-6.051 5.155 7.374
4.612 -0.882 3.733
6.877 0.569 4.744
-1.756 -1.138 8.785
3.195 -1.383 6.155
2.752 6.741 1.102
0.911 0.882 3.733
6.010 -0.815 7.140
1.756 7.039 5.378
-2.369 9.016 0.868
0.085 3.375 5.378
0.487 6.591 2.865
-1.354 -0.569 4.744
6.051 -3.809 8.151
6.434 2.791 2.630
0.921 5.207 6.764
2.762 5.858 3.382
-0.921 -3.255 7.892
-0.921 4.556 3.382
-4.603 3.255 7.892
6.444 5.207 2.255
8.285 1.953 1.127
-2.762 0.000 6.764
2.762 0.000 2.255
0.921 -0.651 5.637
4.603 8.462 1.127
4.603 0.651 5.637
-0.921 2.604 6.764
4.603 2.604 2.255
6.444 -0.651 3.382
-2.762 7.811 2.255
0.921 7.160 1.127
-0.921 0.651 3.382
2.762 -1.953 7.892
2.762 1.953 7.892
0.921 3.255 1.127
4.603 4.556 5.637
6.444 -2.604 6.764
-2.762 5.858 5.637
```

Computed properties:
total energy: -17.44 eV per atom
energy relative to the elements, uncorrected: -3.056 eV/atom